A plane-wave DFT calculation with PBE was carried out for BeAs2N after structural relaxation.

Results
ΔE_f (raw) in kJ/mol of formula units: 483
Energy in Ry per atom: -0.300
Crystal system: cubic

Cell and atoms, written as POSCAR:
```
BeAs2N
1.0
5.917 0.000 0.000
0.000 5.917 0.000
0.000 0.000 5.917
Be As N
4 8 4
direct
0.000 0.000 0.000 Be
0.000 0.500 0.500 Be
0.500 0.000 0.500 Be
0.500 0.500 0.000 Be
0.250 0.250 0.250 As
0.250 0.250 0.750 As
0.250 0.750 0.250 As
0.250 0.750 0.750 As
0.750 0.250 0.250 As
0.750 0.250 0.750 As
0.750 0.750 0.250 As
0.750 0.750 0.750 As
0.000 0.000 0.500 N
0.000 0.500 0.000 N
0.500 0.000 0.000 N
0.500 0.500 0.500 N
```